1.
Below is Pa6Co5Ir after structural relaxation, with properties calculated at the PBE level.

abc: 6.4872 6.5604 6.5604
angles: 116.53 99.16 99.16
Element x y z (fractional)
Pa1 0.2548 0.7390 0.7390
Pa2 0.2561 0.0856 0.4302
Pa3 0.7452 0.2610 0.2610
Pa4 0.2561 0.4302 0.0856
Ir1 0.0000 0.0000 0.0000
Pa5 0.7439 0.9144 0.5698
Co1 0.5000 0.1632 0.8368
Pa6 0.7439 0.5698 0.9144
Co2 0.5000 0.5000 0.5000
Co3 0.5000 0.8368 0.1632
Co4 0.0000 0.6669 0.3331
Co5 0.0000 0.3331 0.6669

Computed properties:
Raw total energy in eV per cell: -105.9
Calculated formation energy in eV/atom: -0.380
SG: C2/m

***

2.
Below is MgMoRh2 after structural relaxation, with properties calculated at the PBE level.

abc: 5.0359 5.0359 5.0359
angles: 136.27 136.25 63.58
Element x y z (fractional)
Rh1 0.0000 0.0000 0.0000
Rh2 0.7500 0.2500 0.5000
Mg1 0.5000 0.5000 0.0000
Mo1 0.2500 0.7500 0.5000

Computed properties:
Raw total energy in eV per cell: -27.6
Calculated formation energy in eV/atom: -0.126
SG: I-4m2

***

3.
Below is SmLuAlPt after structural relaxation, with properties calculated at the PBE level.

abc: 5.0338 5.0338 5.0338
angles: 60.00 60.00 60.00
Element x y z (fractional)
Pt1 0.7500 0.7500 0.7500
Sm1 0.5000 0.5000 0.5000
Lu1 0.0000 0.0000 0.0000
Al1 0.2500 0.2500 0.2500

Computed properties:
Raw total energy in eV per cell: -21.9
Calculated formation energy in eV/atom: -0.711
SG: F-43m

***

> Which of these has the lowest calculated formation energy?

SmLuAlPt